Entry 1:
K2Cu2Rh: optimized geometry, PBE.

## Properties
Total magnetization, μB/f.u.: 0.0
Energy relative to the elements, eV per atom: 0.884
Energy above the lowest structure with this stoichiometry, meV/atom: 293

Unit cell a=9.504 b=9.504 c=2.686 alpha=90.00 beta=90.00 gamma=90.00
Space group P4/mbm (No. 127)
Inequivalent atoms, fractional coordinates:
K 0.201 0.299 0.000 [4 per cell]
Cu 0.088 0.588 0.500 [4 per cell]
Rh 0.000 0.000 0.000 [2 per cell]

---

Entry 2:
KCuRh2: optimized geometry, PBE.

## Properties
Total magnetization, μB/f.u.: 0.0
Energy relative to the elements, eV per atom: 0.400
Energy above the lowest structure with this stoichiometry, meV/atom: 0

Unit cell a=3.072 b=3.072 c=8.017 alpha=90.00 beta=90.00 gamma=90.00
Space group P4mm (No. 99)
Inequivalent atoms, fractional coordinates:
K 0.000 0.000 0.000 [1 per cell]
Cu 0.500 0.500 0.675 [1 per cell]
Rh 0.000 0.000 0.505 [1 per cell]
Rh 0.500 0.500 0.324 [1 per cell]